This record from the Alexandria database describes a relaxed ErCu8Ag3 crystal. The functional is GGA-PBE.

Output
V: 14.66 A^3/atom
Fermi-level density of states: 0.63 states/eV per atom
energy of formation from the pure elements: -0.071 eV/atom
space-group type: R3m

a b c (Å): 8.6726 8.6726 8.6726
angles (deg): 33.39 33.39 33.39
Closest atoms and distances in Å follow each position.
Atoms (fractional coordinates):
Er1 0.0000 0.0000 0.0000  12 Cu 2.92-2.96, 4 Ag 3.09-3.11
Cu1 0.1871 0.1871 0.1871  6 Cu 2.47-2.48
Cu2 0.4360 0.4360 0.9345  6 Cu 2.47-2.54
Cu3 0.4360 0.9345 0.4360  6 Cu 2.47-2.54
Cu4 0.4396 0.9379 0.9379  6 Cu 2.48-2.51
Cu5 0.6877 0.6877 0.6877  6 Cu 2.51-2.54
Cu6 0.9345 0.4360 0.4360  6 Cu 2.47-2.54
Cu7 0.9379 0.4396 0.9379  6 Cu 2.48-2.51
Cu8 0.9379 0.9379 0.4396  6 Cu 2.48-2.51
Ag1 0.3796 0.3796 0.3796  12 Cu 2.88-3.08, 1 Ag 2.95, 3 Er 3.09
Ag2 0.4999 0.4999 0.4999  12 Cu 2.89-2.92, 4 Ag 2.95-3.04
Ag3 0.8735 0.8735 0.8735  12 Cu 2.88-2.92, 3 Ag 3.04, 1 Er 3.11

This record from the Alexandria database describes a relaxed Er4CuAg2 crystal. The functional is GGA-PBE.

Output
V: 25.11 A^3/atom
Fermi-level density of states: 0.67 states/eV per atom
energy of formation from the pure elements: -0.156 eV/atom
space-group type: R-3m

a b c (Å): 8.6692 8.6692 8.6692
angles (deg): 33.40 33.40 33.40
Closest atoms and distances in Å follow each position.
Atoms (fractional coordinates):
Er1 0.1238 0.1238 0.1238  4 Ag 3.03-3.07, 1 Cu 3.04
Er2 0.3738 0.3738 0.3738  3 Cu 3.04, 4 Ag 3.06-3.07
Er3 0.6262 0.6262 0.6262  3 Cu 3.04, 4 Ag 3.06-3.07
Er4 0.8762 0.8762 0.8762  4 Ag 3.03-3.07, 1 Cu 3.04
Cu1 0.0000 0.0000 0.0000  8 Er 3.04
Ag1 0.2489 0.2489 0.2489  8 Er 3.03-3.07
Ag2 0.7511 0.7511 0.7511  8 Er 3.03-3.07

This record from the Alexandria database describes a relaxed ErCu9Ag2 crystal. The functional is GGA-PBE.

Output
V: 14.38 A^3/atom
Fermi-level density of states: 0.57 states/eV per atom
energy of formation from the pure elements: -0.082 eV/atom
space-group type: R-3m

a b c (Å): 8.5419 8.5419 8.5419
angles (deg): 33.88 33.88 33.88
Closest atoms and distances in Å follow each position.
Atoms (fractional coordinates):
Er1 0.0000 0.0000 0.0000  18 Cu 2.87-3.22
Cu1 0.0818 0.5857 0.5857  7 Cu 2.46-2.51
Cu2 0.3334 0.3334 0.3334  6 Cu 2.49-2.50
Cu3 0.4143 0.4143 0.9182  7 Cu 2.46-2.51
Cu4 0.4143 0.9182 0.4143  7 Cu 2.46-2.51
Cu5 0.5000 0.5000 0.5000  6 Cu 2.46
Cu6 0.5857 0.0818 0.5857  7 Cu 2.46-2.51
Cu7 0.5857 0.5857 0.0818  7 Cu 2.46-2.51
Cu8 0.6666 0.6666 0.6666  6 Cu 2.49-2.50
Cu9 0.9182 0.4143 0.4143  7 Cu 2.46-2.51
Ag1 0.1443 0.1443 0.1443  12 Cu 2.88-2.92, 3 Ag 3.07
Ag2 0.8557 0.8557 0.8557  12 Cu 2.88-2.92, 3 Ag 3.07

This record from the Alexandria database describes a relaxed Er6Cu2Ag crystal. The functional is GGA-PBE.

Output
V: 24.84 A^3/atom
Fermi-level density of states: 1.12 states/eV per atom
energy of formation from the pure elements: -0.177 eV/atom
space-group type: Immm

a b c (Å): 8.3469 8.3469 8.3469
angles (deg): 110.84 110.58 107.02
Closest atoms and distances in Å follow each position.
Atoms (fractional coordinates):
Er1 0.0523 0.2440 0.8083  1 Cu 2.86, 2 Ag 3.03-3.13
Er2 0.1812 0.2766 0.4578  3 Cu 2.98-3.09, 1 Ag 3.14
Er3 0.1812 0.7234 0.9045  3 Cu 2.98-3.09, 1 Ag 3.14
Er4 0.3237 0.0226 0.6989  3 Cu 2.76-2.93
Er5 0.3237 0.6249 0.3011  3 Cu 2.76-2.93
Er6 0.4357 0.2440 0.1917  1 Cu 2.86, 2 Ag 3.03-3.13
Er7 0.5643 0.7560 0.8083  1 Cu 2.86, 2 Ag 3.03-3.13
Er8 0.6763 0.3751 0.6989  3 Cu 2.76-2.93
Er9 0.6763 0.9774 0.3011  3 Cu 2.76-2.93
Er10 0.8188 0.2766 0.0955  3 Cu 2.98-3.09, 1 Ag 3.14
Er11 0.8188 0.7234 0.5422  3 Cu 2.98-3.09, 1 Ag 3.14
Er12 0.9477 0.7560 0.1917  1 Cu 2.86, 2 Ag 3.03-3.13
Cu1 0.1208 0.6208 0.5000  1 Cu 2.40
Cu2 0.3523 0.0000 0.3523  1 Cu 2.81, 8 Er 2.86-3.09
Cu3 0.6477 0.0000 0.6477  1 Cu 2.81, 8 Er 2.86-3.09
Cu4 0.8792 0.3792 0.5000  1 Cu 2.40
Ag1 0.0000 0.0000 0.0000  8 Er 3.03-3.14, 2 Cu 3.35
Ag2 0.5000 0.5000 0.0000  8 Er 3.13-3.35

This record from the Alexandria database describes a relaxed Er5Cu2Ag crystal. The functional is GGA-PBE.

Output
V: 24.07 A^3/atom
Fermi-level density of states: 1.16 states/eV per atom
energy of formation from the pure elements: -0.187 eV/atom
space-group type: I4/mcm

a b c (Å): 8.4440 8.4440 8.4440
angles (deg): 125.45 125.45 80.79
Closest atoms and distances in Å follow each position.
Atoms (fractional coordinates):
Er1 0.0000 0.0000 0.0000  4 Cu 3.05, 2 Ag 3.22
Er2 0.0175 0.5175 0.8189  3 Cu 2.88-2.97
Er3 0.1986 0.0175 0.5000  3 Cu 2.88-2.97
Er4 0.3014 0.8014 0.8189  3 Cu 2.88-2.97
Er5 0.4825 0.3014 0.5000  3 Cu 2.88-2.97
Er6 0.5000 0.5000 0.0000  4 Cu 3.05, 2 Ag 3.22
Er7 0.5175 0.6986 0.5000  3 Cu 2.88-2.97
Er8 0.6986 0.1986 0.1811  3 Cu 2.88-2.97
Er9 0.8014 0.9825 0.5000  3 Cu 2.88-2.97
Er10 0.9825 0.4825 0.1811  3 Cu 2.88-2.97
Cu1 0.1262 0.3738 0.5000  1 Cu 2.76, 8 Er 2.88-3.05
Cu2 0.3738 0.8738 0.2475  1 Cu 2.76, 8 Er 2.88-3.05
Cu3 0.6262 0.1262 0.7525  1 Cu 2.76, 8 Er 2.88-3.05
Cu4 0.8738 0.6262 0.5000  1 Cu 2.76, 8 Er 2.88-3.05
Ag1 0.2500 0.2500 0.0000  10 Er 3.22
Ag2 0.7500 0.7500 0.0000  10 Er 3.22

This record from the Alexandria database describes a relaxed Er3Cu2Ag4 crystal. The functional is GGA-PBE.

Output
V: 20.69 A^3/atom
Fermi-level density of states: 0.63 states/eV per atom
energy of formation from the pure elements: -0.175 eV/atom
space-group type: C2/c

a b c (Å): 8.7609 8.7609 5.1829
angles (deg): 102.31 102.31 76.65
Closest atoms and distances in Å follow each position.
Atoms (fractional coordinates):
Er1 0.1128 0.8872 0.7500  6 Cu 2.81-3.08, 2 Ag 2.94
Er2 0.1701 0.4750 0.8429  7 Ag 2.87-3.15, 2 Cu 2.89-3.08
Er3 0.4750 0.1701 0.3429  7 Ag 2.87-3.15, 2 Cu 2.89-3.08
Er4 0.5250 0.8299 0.6571  7 Ag 2.87-3.15, 2 Cu 2.89-3.08
Er5 0.8299 0.5250 0.1571  7 Ag 2.87-3.15, 2 Cu 2.89-3.08
Er6 0.8872 0.1128 0.2500  6 Cu 2.81-3.08, 2 Ag 2.94
Cu1 0.0522 0.7593 0.2009  1 Cu 2.50, 1 Ag 2.64
Cu2 0.2407 0.9478 0.2991  1 Cu 2.50, 1 Ag 2.64
Cu3 0.7593 0.0522 0.7009  1 Cu 2.50, 1 Ag 2.64
Cu4 0.9478 0.2407 0.7991  1 Cu 2.50, 1 Ag 2.64
Ag1 0.1374 0.2903 0.2662  2 Cu 2.64-2.96, 2 Er 2.87-2.94
Ag2 0.2903 0.1374 0.7662  2 Cu 2.64-2.96, 2 Er 2.87-2.94
Ag3 0.3244 0.5606 0.4495  1 Cu 2.85, 4 Ag 2.92-3.09, 3 Er 2.97-3.15
Ag4 0.4394 0.6756 0.0505  1 Cu 2.85, 4 Ag 2.92-3.09, 3 Er 2.97-3.15
Ag5 0.5606 0.3244 0.9495  1 Cu 2.85, 4 Ag 2.92-3.09, 3 Er 2.97-3.15
Ag6 0.6756 0.4394 0.5505  1 Cu 2.85, 4 Ag 2.92-3.09, 3 Er 2.97-3.15
Ag7 0.7097 0.8626 0.2338  2 Cu 2.64-2.96, 2 Er 2.87-2.94
Ag8 0.8626 0.7097 0.7338  2 Cu 2.64-2.96, 2 Er 2.87-2.94

This record from the Alexandria database describes a relaxed Er3CuAg crystal. The functional is GGA-PBE.

Output
V: 26.32 A^3/atom
Fermi-level density of states: 1.09 states/eV per atom
energy of formation from the pure elements: -0.013 eV/atom
space-group type: Pm

a b c (Å): 8.8638 3.6992 8.8719
angles (deg): 90.00 115.20 90.00
Closest atoms and distances in Å follow each position.
Atoms (fractional coordinates):
Er1 0.0000 0.0000 0.0000  2 Cu 2.79, 2 Ag 3.12
Er2 0.0312 0.5000 0.5844  2 Cu 2.72
Er3 0.3549 0.5000 0.2606  2 Cu 2.72
Er4 0.3856 0.0000 0.8456  2 Cu 2.79, 2 Ag 3.12
Er5 0.6152 0.0000 0.6155  2 Cu 2.79, 2 Ag 3.12
Er6 0.7699 0.0000 0.2300  2 Cu 2.80, 2 Ag 3.12
Cu1 0.1927 0.5000 0.9226  6 Er 2.72-2.79
Cu2 0.6930 0.5000 0.4232  6 Er 2.72-2.80
Ag1 0.1922 0.0000 0.4217  8 Er 3.05-3.40
Ag2 0.6928 0.5000 0.9228  8 Er 3.12

This record from the Alexandria database describes a relaxed Er5CuAg4 crystal. The functional is GGA-PBE.

Output
V: 22.81 A^3/atom
Fermi-level density of states: 0.47 states/eV per atom
energy of formation from the pure elements: -0.322 eV/atom
space-group type: P4/mmm

a b c (Å): 3.5432 3.5432 18.1695
angles (deg): 90.00 90.00 90.00
Closest atoms and distances in Å follow each position.
Atoms (fractional coordinates):
Er1 0.0000 0.0000 0.0000  8 Ag 3.11
Er2 0.0000 0.0000 0.2037  8 Ag 3.11-3.12
Er3 0.0000 0.0000 0.4076  4 Cu 3.02, 4 Ag 3.13, 1 Er 3.36
Er4 0.0000 0.0000 0.5924  4 Cu 3.02, 4 Ag 3.13, 1 Er 3.36
Er5 0.0000 0.0000 0.7963  8 Ag 3.11-3.12
Cu1 0.5000 0.5000 0.5000  8 Er 3.02
Ag1 0.5000 0.5000 0.1018  8 Er 3.11-3.12
Ag2 0.5000 0.5000 0.3048  8 Er 3.11-3.13
Ag3 0.5000 0.5000 0.6952  8 Er 3.11-3.13
Ag4 0.5000 0.5000 0.8982  8 Er 3.11-3.12

This record from the Alexandria database describes a relaxed Er6CuAg5 crystal. The functional is GGA-PBE.

Output
V: 22.99 A^3/atom
Fermi-level density of states: 0.45 states/eV per atom
energy of formation from the pure elements: -0.320 eV/atom
space-group type: Cmmm

a b c (Å): 8.0378 8.0378 7.1112
angles (deg): 90.00 90.00 143.10
Closest atoms and distances in Å follow each position.
Atoms (fractional coordinates):
Er1 0.0000 0.0000 0.2435  2 Cu 3.08, 6 Ag 3.10-3.15
Er2 0.0000 0.0000 0.7565  2 Cu 3.08, 6 Ag 3.10-3.15
Er3 0.3366 0.6634 0.2468  1 Cu 3.05, 7 Ag 3.07-3.14
Er4 0.3366 0.6634 0.7532  1 Cu 3.05, 7 Ag 3.07-3.14
Er5 0.6634 0.3366 0.2468  1 Cu 3.05, 7 Ag 3.07-3.14
Er6 0.6634 0.3366 0.7532  1 Cu 3.05, 7 Ag 3.07-3.14
Cu1 0.5000 0.5000 0.0000  8 Er 3.05-3.08
Ag1 0.1682 0.8318 0.5000  8 Er 3.12-3.15
Ag2 0.1686 0.8314 0.0000  8 Er 3.09-3.11
Ag3 0.5000 0.5000 0.5000  8 Er 3.07-3.13
Ag4 0.8314 0.1686 0.0000  8 Er 3.09-3.11
Ag5 0.8318 0.1682 0.5000  8 Er 3.12-3.15

This record from the Alexandria database describes a relaxed Er4Cu2Ag crystal. The functional is GGA-PBE.

Output
V: 23.56 A^3/atom
Fermi-level density of states: 0.92 states/eV per atom
polymorph energy (0 for the lowest one): 0.00 eV/f.u.
energy of formation from the pure elements: -0.161 eV/atom
space-group type: P1

a b c (Å): 6.9629 7.1922 7.7307
angles (deg): 105.72 106.38 106.28
Closest atoms and distances in Å follow each position.
Atoms (fractional coordinates):
Er1 0.0000 0.0000 0.0000  4 Cu 2.86-3.02, 1 Ag 3.10
Er2 0.0077 0.5817 0.1757  3 Cu 2.84-2.93, 1 Ag 3.00
Er3 0.2732 0.3581 0.8512  3 Cu 2.78-2.81, 1 Ag 2.94
Er4 0.3531 0.1013 0.4483  2 Cu 2.78-2.98, 1 Ag 2.92
Er5 0.4450 0.7033 0.6530  3 Cu 2.74-2.94, 1 Ag 2.95
Er6 0.5951 0.1372 0.1127  1 Cu 2.68
Er7 0.8196 0.9470 0.4509  3 Cu 2.83-2.96, 2 Ag 3.14-3.15
Er8 0.8833 0.5231 0.6110  3 Cu 2.84-3.08, 1 Ag 3.03
Cu1 0.0740 0.3104 0.3893  7 Er 2.78-3.07
Cu2 0.1959 0.9291 0.7150  6 Er 2.74-2.98, 1 Cu 2.79
Cu3 0.2785 0.7627 0.0013  2 Cu 2.68-2.79, 4 Er 2.68-2.92
Cu4 0.6549 0.7148 0.0443  1 Cu 2.68, 5 Er 2.78-2.93
Ag1 0.4634 0.4903 0.2770  5 Er 2.94-3.21, 2 Cu 3.06-3.12
Ag2 0.7364 0.2165 0.7950  6 Er 2.92-3.14

This record from the Alexandria database describes a relaxed Er5Cu4Ag crystal. The functional is GGA-PBE.

Output
V: 20.89 A^3/atom
Fermi-level density of states: 0.43 states/eV per atom
energy of formation from the pure elements: -0.290 eV/atom
space-group type: P4/mmm

a b c (Å): 3.4436 3.4436 17.6136
angles (deg): 90.00 90.00 90.00
Closest atoms and distances in Å follow each position.
Atoms (fractional coordinates):
Er1 0.0000 0.0000 0.0000  8 Cu 2.98
Er2 0.0000 0.0000 0.1958  8 Cu 2.99
Er3 0.0000 0.0000 0.3913  4 Cu 2.97, 4 Ag 3.10
Er4 0.0000 0.0000 0.6087  4 Cu 2.97, 4 Ag 3.10
Er5 0.0000 0.0000 0.8042  8 Cu 2.99
Cu1 0.5000 0.5000 0.0977  8 Er 2.98-2.99
Cu2 0.5000 0.5000 0.2946  8 Er 2.97-2.99
Cu3 0.5000 0.5000 0.7054  8 Er 2.97-2.99
Cu4 0.5000 0.5000 0.9023  8 Er 2.98-2.99
Ag1 0.5000 0.5000 0.5000  8 Er 3.10, 4 Ag 3.44

This record from the Alexandria database describes a relaxed EuErCuAg crystal. The functional is GGA-PBE.

Output
V: 23.70 A^3/atom
Fermi-level density of states: 1.92 states/eV per atom
energy of formation from the pure elements: -0.177 eV/atom
space-group type: F-43m

a b c (Å): 5.1178 5.1178 5.1178
angles (deg): 60.00 60.00 60.00
Closest atoms and distances in Å follow each position.
Atoms (fractional coordinates):
Eu1 0.0000 0.0000 0.0000  4 Ag 3.13, 4 Cu 3.13
Er1 0.5000 0.5000 0.5000  4 Ag 3.13, 4 Cu 3.13
Cu1 0.2500 0.2500 0.2500  4 Er 3.13, 4 Eu 3.13
Ag1 0.7500 0.7500 0.7500  4 Er 3.13, 4 Eu 3.13